Record 1
# Al3Ag5 | the Alexandria database | meta-GGA SCAN | PBEsol geometry
data_Al3Ag5
_symmetry_space_group_name_H-M 'I 4/m c m'
_symmetry_Int_Tables_number 140
_symmetry_space_group_name_Hall '-I 4 2c'
_cell_length_a 9.976
_cell_length_b 9.976
_cell_length_c 5.292
_cell_angle_alpha 90.00
_cell_angle_beta 90.00
_cell_angle_gamma 90.00
loop_
_atom_site_label
_atom_site_type_symbol
_atom_site_fract_x
_atom_site_fract_y
_atom_site_fract_z
Al1 Al 0.000 0.000 0.250
Al2 Al 0.173 0.327 0.000
Ag1 Ag 0.000 0.500 0.250
Ag2 Ag 0.069 0.229 0.500
# **Crystal system**: tetragonal
# **Density**: 7.82 g/cm3
# **E_form**: -33 meV per atom
# **E_tot**: -22.545 eV per atom
# **ΔE to the lowest computed polymorph**: 80 meV per atom
# **Total magnetic moment**: 0.000 μB per formula unit

=====

Record 2
# Al5Ag3 | the Alexandria database | meta-GGA SCAN | PBEsol geometry
data_Al5Ag3
_symmetry_space_group_name_H-M 'F 2 2 2'
_symmetry_Int_Tables_number 22
_symmetry_space_group_name_Hall 'F 2 2'
_cell_length_a 5.565
_cell_length_b 8.010
_cell_length_c 11.644
_cell_angle_alpha 90.00
_cell_angle_beta 90.00
_cell_angle_gamma 90.00
loop_
_atom_site_label
_atom_site_type_symbol
_atom_site_fract_x
_atom_site_fract_y
_atom_site_fract_z
Al1 Al 0.000 0.000 0.000
Al2 Al 0.000 0.000 0.251
Al3 Al 0.250 0.250 0.126
Ag1 Ag 0.000 0.000 0.500
Ag2 Ag 0.250 0.250 0.626
# **Crystal system**: orthorhombic
# **Density**: 5.87 g/cm3
# **E_form**: -53 meV per atom
# **E_tot**: -16.661 eV per atom
# **ΔE to the lowest computed polymorph**: 19 meV per atom
# **Total magnetic moment**: 0.016 μB per formula unit

=====

Record 3
# Al5Ag3 | the Alexandria database | meta-GGA SCAN | PBEsol geometry
data_Al5Ag3
_symmetry_space_group_name_H-M 'P 1'
_symmetry_Int_Tables_number 1
_cell_length_a 4.903
_cell_length_b 4.938
_cell_length_c 5.682
_cell_angle_alpha 74.55
_cell_angle_beta 88.00
_cell_angle_gamma 79.47
loop_
_symmetry_equiv_pos_as_xyz
'x,y,z'
loop_
_atom_site_label
_atom_site_type_symbol
_atom_site_fract_x
_atom_site_fract_y
_atom_site_fract_z
Al1 Al 0.000 0.000 0.000
Al2 Al 0.004 0.006 0.501
Al3 Al 0.267 0.504 0.363
Al4 Al 0.502 0.000 0.755
Al5 Al 0.765 0.503 0.627
Ag1 Ag 0.261 0.499 0.859
Ag2 Ag 0.505 0.004 0.259
Ag3 Ag 0.765 0.503 0.129
# **Crystal system**: triclinic
# **Density**: 5.84 g/cm3
# **E_form**: -38 meV per atom
# **E_tot**: -16.646 eV per atom
# **ΔE to the lowest computed polymorph**: 34 meV per atom
# **Total magnetic moment**: 0.017 μB per formula unit

=====

Record 4
# AlAg2 | the Alexandria database | meta-GGA SCAN | PBEsol geometry
data_AlAg2
_symmetry_space_group_name_H-M 'C m c m'
_symmetry_Int_Tables_number 63
_symmetry_space_group_name_Hall '-C 2c 2'
_cell_length_a 8.623
_cell_length_b 4.878
_cell_length_c 4.565
_cell_angle_alpha 90.00
_cell_angle_beta 90.00
_cell_angle_gamma 90.00
loop_
_atom_site_label
_atom_site_type_symbol
_atom_site_fract_x
_atom_site_fract_y
_atom_site_fract_z
Al1 Al 0.000 0.185 0.250
Ag1 Ag 0.161 0.313 0.750
# **Crystal system**: orthorhombic
# **Density**: 8.40 g/cm3
# **E_form**: -122 meV per atom
# **E_tot**: -23.618 eV per atom
# **Total magnetic moment**: 0.000 μB per formula unit

=====

Record 5
# Al2Ag3 | the Alexandria database | meta-GGA SCAN | PBEsol geometry
data_Al2Ag3
_symmetry_space_group_name_H-M 'P 42/m'
_symmetry_Int_Tables_number 84
_cell_length_a 6.367
_cell_length_b 6.367
_cell_length_c 3.962
_cell_angle_alpha 90.00
_cell_angle_beta 90.00
_cell_angle_gamma 90.00
loop_
_symmetry_equiv_pos_as_xyz
'x,y,z'
'-x,-y,-z'
'-y,x,z+1/2'
'y,-x,-z+1/2'
'-x,-y,z'
'x,y,-z'
'y,-x,z+1/2'
'-y,x,-z+1/2'
loop_
_atom_site_label
_atom_site_type_symbol
_atom_site_fract_x
_atom_site_fract_y
_atom_site_fract_z
Al1 Al 0.105 0.800 0.000
Ag1 Ag 0.000 0.500 0.500
Ag2 Ag 0.290 0.399 0.000
# **Crystal system**: tetragonal
# **Density**: 7.81 g/cm3
# **E_form**: -88 meV per atom
# **E_tot**: -22.009 eV per atom
# **ΔE to the lowest computed polymorph**: 9 meV per atom
# **Total magnetic moment**: 0.011 μB per formula unit

=====

Record 6
# Al3Ag5 | the Alexandria database | meta-GGA SCAN | PBEsol geometry
data_Al3Ag5
_symmetry_space_group_name_H-M 'P m m m'
_symmetry_Int_Tables_number 47
_cell_length_a 3.881
_cell_length_b 4.092
_cell_length_c 8.072
_cell_angle_alpha 90.00
_cell_angle_beta 90.00
_cell_angle_gamma 90.00
loop_
_symmetry_equiv_pos_as_xyz
'x,y,z'
'-x,-y,-z'
'-x,-y,z'
'x,y,-z'
'x,-y,-z'
'-x,y,z'
'-x,y,-z'
'x,-y,z'
loop_
_atom_site_label
_atom_site_type_symbol
_atom_site_fract_x
_atom_site_fract_y
_atom_site_fract_z
Al1 Al 0.000 0.000 0.000
Al2 Al 0.000 0.500 0.254
Ag1 Ag 0.000 0.000 0.500
Ag2 Ag 0.500 0.000 0.242
Ag3 Ag 0.500 0.500 0.000
Ag4 Ag 0.500 0.500 0.500
# **Crystal system**: orthorhombic
# **Density**: 8.04 g/cm3
# **E_form**: -93 meV per atom
# **E_tot**: -22.604 eV per atom
# **ΔE to the lowest computed polymorph**: 20 meV per atom
# **Total magnetic moment**: 0.000 μB per formula unit

=====

Record 7
# AlAg2 | the Alexandria database | meta-GGA SCAN | PBEsol geometry
data_AlAg2
_symmetry_space_group_name_H-M 'C m m m'
_symmetry_Int_Tables_number 65
_symmetry_space_group_name_Hall '-C 2 2'
_cell_length_a 4.131
_cell_length_b 12.368
_cell_length_c 3.764
_cell_angle_alpha 90.00
_cell_angle_beta 90.00
_cell_angle_gamma 90.00
loop_
_atom_site_label
_atom_site_type_symbol
_atom_site_fract_x
_atom_site_fract_y
_atom_site_fract_z
Al1 Al 0.000 0.163 0.000
Ag1 Ag 0.000 0.000 0.500
Ag2 Ag 0.000 0.328 0.500
Ag3 Ag 0.000 0.500 0.000
# **Crystal system**: orthorhombic
# **Density**: 8.38 g/cm3
# **E_form**: -101 meV per atom
# **E_tot**: -23.596 eV per atom
# **Total magnetic moment**: 0.000 μB per formula unit

=====

Record 8
# Al5Ag3 | the Alexandria database | meta-GGA SCAN | PBEsol geometry
data_Al5Ag3
_symmetry_space_group_name_H-M 'F m m 2'
_symmetry_Int_Tables_number 42
_symmetry_space_group_name_Hall 'F 2 -2'
_cell_length_a 5.767
_cell_length_b 7.894
_cell_length_c 11.414
_cell_angle_alpha 90.00
_cell_angle_beta 90.00
_cell_angle_gamma 90.00
loop_
_atom_site_label
_atom_site_type_symbol
_atom_site_fract_x
_atom_site_fract_y
_atom_site_fract_z
Al1 Al 0.000 0.000 0.000
Al2 Al 0.000 0.000 0.250
Al3 Al 0.000 0.000 0.501
Al4 Al 0.250 0.250 0.371
Ag1 Ag 0.000 0.000 0.757
Ag2 Ag 0.250 0.250 0.119
# **Crystal system**: orthorhombic
# **Density**: 5.86 g/cm3
# **E_form**: -54 meV per atom
# **E_tot**: -16.662 eV per atom
# **ΔE to the lowest computed polymorph**: 18 meV per atom
# **Total magnetic moment**: 0.000 μB per formula unit

=====

Record 9
# Al7Ag5 | the Alexandria database | meta-GGA SCAN | PBEsol geometry
data_Al7Ag5
_symmetry_space_group_name_H-M 'C 1 2 1'
_symmetry_Int_Tables_number 5
_cell_length_a 9.393
_cell_length_b 8.526
_cell_length_c 4.956
_cell_angle_alpha 90.00
_cell_angle_beta 101.55
_cell_angle_gamma 90.00
loop_
_symmetry_equiv_pos_as_xyz
'x,y,z'
'-x,y,-z'
'x+1/2,y+1/2,z'
'-x+1/2,y+1/2,-z'
loop_
_atom_site_label
_atom_site_type_symbol
_atom_site_fract_x
_atom_site_fract_y
_atom_site_fract_z
Al1 Al 0.000 0.000 0.000
Al2 Al 0.000 0.163 0.500
Al3 Al 0.000 0.333 0.000
Al4 Al 0.000 0.502 0.500
Al5 Al 0.000 0.671 0.000
Al6 Al 0.249 0.672 0.748
Ag1 Ag 0.000 0.832 0.500
Ag2 Ag 0.244 0.339 0.747
Ag3 Ag 0.245 0.505 0.245
# **Crystal system**: monoclinic
# **Density**: 6.22 g/cm3
# **E_form**: -50 meV per atom
# **E_tot**: -17.642 eV per atom
# **ΔE to the lowest computed polymorph**: 23 meV per atom
# **Total magnetic moment**: 0.005 μB per formula unit

=====

Record 10
# Al5Ag | the Alexandria database | meta-GGA SCAN | PBEsol geometry
data_Al5Ag
_symmetry_space_group_name_H-M 'P 1 2/m 1'
_symmetry_Int_Tables_number 10
_cell_length_a 4.940
_cell_length_b 2.839
_cell_length_c 6.951
_cell_angle_alpha 90.00
_cell_angle_beta 90.94
_cell_angle_gamma 90.00
loop_
_symmetry_equiv_pos_as_xyz
'x,y,z'
'-x,-y,-z'
'-x,y,-z'
'x,-y,z'
loop_
_atom_site_label
_atom_site_type_symbol
_atom_site_fract_x
_atom_site_fract_y
_atom_site_fract_z
Al1 Al 0.000 0.000 0.000
Al2 Al 0.164 0.500 0.336
Al3 Al 0.334 0.000 0.666
Ag1 Ag 0.500 0.500 0.000
# **Crystal system**: monoclinic
# **Density**: 4.14 g/cm3
# **E_form**: -8 meV per atom
# **E_tot**: -11.696 eV per atom
# **ΔE to the lowest computed polymorph**: 25 meV per atom
# **Total magnetic moment**: 0.000 μB per formula unit